A plane-wave DFT calculation with PBE-GGA was carried out for a geometry-optimized ScBe3Tl structure.

Structure (extended XYZ):
```
5
Lattice="4.486 0.000 0.000 0.000 4.486 0.000 0.000 0.000 4.486" Properties=species:S:1:pos:R:3 pbc="T T T"
Sc 2.243 2.243 2.243
Be 0.000 2.243 0.000
Be 0.000 0.000 2.243
Be 2.243 0.000 0.000
Tl 0.000 0.000 0.000
```

Computed properties:
Magnetization   0.0 μB per formula unit
Energy above the lowest structure with this stoichiometry   0 meV per atom
Energy relative to the elements   0.998 eV per atom